No. 1
Computed, not measured: KIn2Sb after structural relaxation at the GGA-PBE level of DFT.

abc: 5.2664 5.2664 7.0829
angles: 77.34 77.34 48.67
Closest atoms and distances in Å follow each position.
Atoms (fractional coordinates):
In1 0.9955 0.9955 0.9984  3 In 2.93-3.19, 3 Sb 3.05-3.16
In2 0.7389 0.7389 0.8419  3 In 2.93-3.19, 2 Sb 3.21
K1 0.5065 0.5065 0.4923  3 Sb 3.63-3.68, 3 In 3.71-3.79
Sb1 0.2591 0.2591 0.1674  5 In 3.05-3.21

Output
Magnetization (μB/atom): 0.00
Total DFT energy (no corrections) (eV per atom): -2.832
Formation energy without anion corrections (eV per atom): -0.16
Space-group type: No. 8
Volume (Å³/f.u.): 143
N(E_F) (states/eV/atom): 0.27
Crystal system: monoclinic

No. 2
Computed, not measured: KInSbSe3 after structural relaxation at the GGA-PBE level of DFT.

abc: 4.7561 8.7741 10.1596
angles: 100.16 90.00 90.00
Closest atoms and distances in Å follow each position.
Atoms (fractional coordinates):
K1 0.2500 0.1685 0.2002  7 Se 3.40-3.80
K2 0.7500 0.8315 0.7998  7 Se 3.40-3.80
In1 0.2500 0.1221 0.5915  4 Se 2.67-2.81
In2 0.7500 0.8779 0.4085  4 Se 2.67-2.81
Sb1 0.2500 0.6506 0.1305  1 Se 2.58
Sb2 0.7500 0.3494 0.8695  1 Se 2.58
Se1 0.7500 0.8548 0.1426  1 In 2.67, 2 Sb 2.97
Se2 0.2500 0.1452 0.8574  1 In 2.67, 2 Sb 2.97
Se3 0.2500 0.7996 0.5042  3 In 2.70-2.81
Se4 0.7500 0.2004 0.4958  3 In 2.70-2.81
Se5 0.7500 0.4172 0.1268  1 Sb 2.58
Se6 0.2500 0.5828 0.8732  1 Sb 2.58

Output
Magnetization (μB/atom): 0.00
Total DFT energy (no corrections) (eV per atom): -3.615
Formation energy without anion corrections (eV per atom): -0.55
Space-group type: No. 11
Volume (Å³/f.u.): 209
N(E_F) (states/eV/atom): 0.24
Crystal system: monoclinic

No. 3
Computed, not measured: K2In2Sb2Se after structural relaxation at the GGA-PBE level of DFT.

abc: 4.2139 7.0690 8.4530
angles: 73.61 90.01 72.66
Closest atoms and distances in Å follow each position.
Atoms (fractional coordinates):
K1 0.4961 0.0081 0.7161  2 Se 3.18
K2 0.5039 0.9919 0.2839  2 Se 3.18
In1 0.7884 0.4233 0.8838  1 Se 2.73
In2 0.2116 0.5767 0.1162  1 Se 2.73
Sb1 0.7866 0.4268 0.4011  2 Sb 3.03, 2 In 3.13
Sb2 0.2134 0.5732 0.5989  2 Sb 3.03, 2 In 3.13
Se1 0.0000 0.0000 0.0000  2 In 2.73

Output
Magnetization (μB/atom): 0.00
Total DFT energy (no corrections) (eV per atom): -3.202
Formation energy without anion corrections (eV per atom): -0.43
Space-group type: No. 12
Volume (Å³/f.u.): 230
N(E_F) (states/eV/atom): 0.32
Crystal system: monoclinic

No. 4
Computed, not measured: K2InSb2Se6 after structural relaxation at the GGA-PBE level of DFT.

abc: 7.0393 7.0393 8.4076
angles: 98.37 98.37 120.03
Closest atoms and distances in Å follow each position.
Atoms (fractional coordinates):
K1 0.8306 0.1694 0.0000  6 Se 3.35-3.39
K2 0.1694 0.8306 0.0000  6 Se 3.35-3.39
In1 0.0000 0.0000 0.5000  6 Se 2.76-2.81
Sb1 0.3307 0.6693 0.5000  6 Se 2.83-2.89
Sb2 0.6693 0.3307 0.5000  6 Se 2.83-2.89
Se1 0.7478 0.7478 0.6972  1 In 2.76, 2 Sb 2.89
Se2 0.0690 0.3975 0.6998  1 In 2.81, 2 Sb 2.83-2.86
Se3 0.2522 0.2522 0.3028  1 In 2.76, 2 Sb 2.89
Se4 0.3975 0.0690 0.6998  1 In 2.81, 2 Sb 2.83-2.86
Se5 0.9310 0.6025 0.3002  1 In 2.81, 2 Sb 2.83-2.86
Se6 0.6025 0.9310 0.3002  1 In 2.81, 2 Sb 2.83-2.86

Output
Magnetization (μB/atom): 0.00
Total DFT energy (no corrections) (eV per atom): -3.710
Formation energy without anion corrections (eV per atom): -0.61
Space-group type: No. 12
Volume (Å³/f.u.): 345
N(E_F) (states/eV/atom): 0.62
Crystal system: monoclinic

No. 5
Computed, not measured: KIn2SbSe after structural relaxation at the GGA-PBE level of DFT.

abc: 5.7363 6.4410 5.7363
angles: 90.00 90.00 90.00
Closest atoms and distances in Å follow each position.
Atoms (fractional coordinates):
Sb1 0.0000 0.0000 0.0000  4 In 2.87
K1 0.0000 0.5000 0.0000  2 Sb 3.22
Se1 0.5000 0.5000 0.5000  4 K 4.06, 8 In 4.31
In1 0.0000 0.0000 0.5000  2 Sb 2.87
In2 0.5000 0.0000 0.0000  2 Sb 2.87

Output
Magnetization (μB/atom): 0.00
Total DFT energy (no corrections) (eV per atom): -2.720
Formation energy without anion corrections (eV per atom): 0.12
Space-group type: No. 123
Volume (Å³/f.u.): 212
N(E_F) (states/eV/atom): 0.98
Crystal system: tetragonal

No. 6
Computed, not measured: K2SrInSb2 after structural relaxation at the GGA-PBE level of DFT.

abc: 5.5690 8.1205 9.5736
angles: 90.00 90.00 90.00
Closest atoms and distances in Å follow each position.
Atoms (fractional coordinates):
K1 0.5000 0.0099 0.0775  2 In 3.59-3.95, 3 Sb 3.67-3.74, 4 K 3.85
K2 0.0000 0.3248 0.1522  4 Sb 3.44-3.55, 4 K 3.85
K3 0.5000 0.5099 0.9225  2 In 3.59-3.95, 3 Sb 3.67-3.74, 4 K 3.85
K4 0.0000 0.8248 0.8478  4 Sb 3.44-3.55, 4 K 3.85
Sr1 0.0000 0.0136 0.4739  6 Sb 3.36-3.68, 2 In 3.66
Sr2 0.0000 0.5136 0.5261  6 Sb 3.36-3.68, 2 In 3.66
In1 0.5000 0.1663 0.6863  4 Sb 3.03-3.14
In2 0.5000 0.6663 0.3137  4 Sb 3.03-3.14
Sb1 0.0000 0.2434 0.7917  2 In 3.03, 1 Sr 3.36
Sb2 0.5000 0.2877 0.3797  2 In 3.10-3.14
Sb3 0.0000 0.7434 0.2083  2 In 3.03, 1 Sr 3.36
Sb4 0.5000 0.7877 0.6203  2 In 3.10-3.14

Output
Magnetization (μB/atom): 0.00
Total DFT energy (no corrections) (eV per atom): -3.040
Formation energy without anion corrections (eV per atom): -0.56
Space-group type: No. 26
Volume (Å³/f.u.): 216
N(E_F) (states/eV/atom): 0.03
Crystal system: orthorhombic

No. 7
Computed, not measured: KTa2InSb after structural relaxation at the GGA-PBE level of DFT.

abc: 5.2188 5.6339 5.2188
angles: 90.00 90.00 90.00
Closest atoms and distances in Å follow each position.
Atoms (fractional coordinates):
Sb1 0.5000 0.5000 0.5000  4 K 3.69, 8 Ta 3.84
K1 0.0000 0.5000 0.0000  2 In 2.82
In1 0.0000 0.0000 0.0000  4 Ta 2.61, 2 K 2.82
Ta1 0.0000 0.0000 0.5000  2 In 2.61
Ta2 0.5000 0.0000 0.0000  2 In 2.61

Output
Magnetization (μB/atom): 0.59
Total DFT energy (no corrections) (eV per atom): -4.629
Formation energy without anion corrections (eV per atom): 1.70
Space-group type: No. 123
Volume (Å³/f.u.): 153
N(E_F) (states/eV/atom): 0.72
Crystal system: tetragonal

No. 8
Computed, not measured: KIn2TcSb after structural relaxation at the GGA-PBE level of DFT.

abc: 5.3098 5.3098 5.2167
angles: 90.00 90.00 90.00
Closest atoms and distances in Å follow each position.
Atoms (fractional coordinates):
Sb1 0.0000 0.0000 0.5000  2 Tc 2.61
K1 0.5000 0.5000 0.5000  8 In 3.72, 4 Sb 3.75
Tc1 0.0000 0.0000 0.0000  2 Sb 2.61, 4 In 2.65
In1 0.0000 0.5000 0.0000  2 Tc 2.65
In2 0.5000 0.0000 0.0000  2 Tc 2.65

Output
Magnetization (μB/atom): 0.00
Total DFT energy (no corrections) (eV per atom): -4.215
Formation energy without anion corrections (eV per atom): 0.00
Space-group type: No. 123
Volume (Å³/f.u.): 147
N(E_F) (states/eV/atom): 0.64
Crystal system: tetragonal

What did the fifth record say?
Computed, not measured: KIn2SbSe after structural relaxation at the GGA-PBE level of DFT.

abc: 5.7363 6.4410 5.7363
angles: 90.00 90.00 90.00
Closest atoms and distances in Å follow each position.
Atoms (fractional coordinates):
Sb1 0.0000 0.0000 0.0000  4 In 2.87
K1 0.0000 0.5000 0.0000  2 Sb 3.22
Se1 0.5000 0.5000 0.5000  4 K 4.06, 8 In 4.31
In1 0.0000 0.0000 0.5000  2 Sb 2.87
In2 0.5000 0.0000 0.0000  2 Sb 2.87

Output
Magnetization (μB/atom): 0.00
Total DFT energy (no corrections) (eV per atom): -2.720
Formation energy without anion corrections (eV per atom): 0.12
Space-group type: No. 123
Volume (Å³/f.u.): 212
N(E_F) (states/eV/atom): 0.98
Crystal system: tetragonal

Which value of volume does entry 3 give? 230 Å³/f.u.